The following is a DFT calculation (PBE-GGA) of crystalline BaBi4Rh at its relaxed geometry.

Structure (CIF):
```
data_BaBi4Rh
_cell_length_a 8.893
_cell_length_b 8.893
_cell_length_c 6.740
_cell_angle_alpha 91.93
_cell_angle_beta 91.93
_cell_angle_gamma 48.41
_space_group_name_H-M_alt 'P 1'
_space_group_IT_number 1
loop_
_space_group_symop_operation_xyz
'x,y,z'
loop_
_atom_site_label
_atom_site_fract_x
_atom_site_fract_y
_atom_site_fract_z
_atom_site_occupancy
Ba1 0.244 0.756 0.750 1
Ba2 0.756 0.244 0.250 1
Bi1 0.119 0.291 0.140 1
Bi2 0.172 0.621 0.260 1
Bi3 0.291 0.119 0.640 1
Bi4 0.379 0.828 0.240 1
Bi5 0.621 0.172 0.760 1
Bi6 0.709 0.881 0.360 1
Bi7 0.828 0.379 0.740 1
Bi8 0.881 0.709 0.860 1
Rh1 0.000 0.500 0.500 1
Rh2 0.500 0.000 0.000 1
```

Output
crystal system = monoclinic
space-group type = C2/c, No. 15
energy of formation from the pure elements = -156 kJ/mol of formula units
Fermi-level density of states = 0.57 states/eV/atom



The following is a DFT calculation (PBE-GGA) of crystalline Ba12Bi3Rh5 at its relaxed geometry.

Structure (CIF):
```
data_Ba12Bi3Rh5
_cell_length_a 16.617
_cell_length_b 16.617
_cell_length_c 16.617
_cell_angle_alpha 109.47
_cell_angle_beta 109.47
_cell_angle_gamma 109.47
_space_group_name_H-M_alt 'P 1'
_space_group_IT_number 1
loop_
_space_group_symop_operation_xyz
'x,y,z'
loop_
_atom_site_label
_atom_site_fract_x
_atom_site_fract_y
_atom_site_fract_z
_atom_site_occupancy
Ba1 0.029 0.207 0.124 1
Ba2 0.029 0.322 0.905 1
Ba3 0.083 0.707 0.678 1
Ba4 0.083 0.876 0.405 1
Ba5 0.095 0.624 0.417 1
Ba6 0.095 0.971 0.678 1
Ba7 0.124 0.029 0.207 1
Ba8 0.124 0.595 0.917 1
Ba9 0.178 0.207 0.583 1
Ba10 0.178 0.471 0.595 1
Ba11 0.207 0.124 0.029 1
Ba12 0.207 0.583 0.178 1
Ba13 0.293 0.322 0.917 1
Ba14 0.293 0.471 0.376 1
Ba15 0.322 0.905 0.029 1
Ba16 0.322 0.917 0.293 1
Ba17 0.376 0.293 0.471 1
Ba18 0.376 0.583 0.905 1
Ba19 0.405 0.083 0.876 1
Ba20 0.405 0.822 0.529 1
Ba21 0.417 0.095 0.624 1
Ba22 0.417 0.822 0.793 1
Ba23 0.471 0.376 0.293 1
Ba24 0.471 0.595 0.178 1
Ba25 0.529 0.405 0.822 1
Ba26 0.529 0.624 0.707 1
Ba27 0.583 0.178 0.207 1
Ba28 0.583 0.905 0.376 1
Ba29 0.595 0.178 0.471 1
Ba30 0.595 0.917 0.124 1
Ba31 0.624 0.417 0.095 1
Ba32 0.624 0.707 0.529 1
Ba33 0.678 0.083 0.707 1
Ba34 0.678 0.095 0.971 1
Ba35 0.707 0.529 0.624 1
Ba36 0.707 0.678 0.083 1
Ba37 0.793 0.417 0.822 1
Ba38 0.793 0.876 0.971 1
Ba39 0.822 0.529 0.405 1
Ba40 0.822 0.793 0.417 1
Ba41 0.876 0.405 0.083 1
Ba42 0.876 0.971 0.793 1
Ba43 0.905 0.029 0.322 1
Ba44 0.905 0.376 0.583 1
Ba45 0.917 0.124 0.595 1
Ba46 0.917 0.293 0.322 1
Ba47 0.971 0.678 0.095 1
Ba48 0.971 0.793 0.876 1
Bi1 0.125 0.250 0.375 1
Bi2 0.125 0.375 0.750 1
Bi3 0.250 0.375 0.125 1
Bi4 0.250 0.875 0.625 1
Bi5 0.375 0.125 0.250 1
Bi6 0.375 0.750 0.125 1
Bi7 0.625 0.250 0.875 1
Bi8 0.625 0.875 0.750 1
Bi9 0.750 0.125 0.375 1
Bi10 0.750 0.625 0.875 1
Bi11 0.875 0.625 0.250 1
Bi12 0.875 0.750 0.625 1
Rh1 0.000 0.000 0.000 1
Rh2 0.000 0.000 0.500 1
Rh3 0.000 0.500 0.000 1
Rh4 0.000 0.500 0.500 1
Rh5 0.125 0.750 0.875 1
Rh6 0.125 0.875 0.250 1
Rh7 0.250 0.125 0.875 1
Rh8 0.250 0.625 0.375 1
Rh9 0.375 0.250 0.625 1
Rh10 0.375 0.625 0.750 1
Rh11 0.500 0.000 0.000 1
Rh12 0.500 0.000 0.500 1
Rh13 0.500 0.500 0.000 1
Rh14 0.500 0.500 0.500 1
Rh15 0.625 0.375 0.250 1
Rh16 0.625 0.750 0.375 1
Rh17 0.750 0.375 0.625 1
Rh18 0.750 0.875 0.125 1
Rh19 0.875 0.125 0.750 1
Rh20 0.875 0.250 0.125 1
```

Output
crystal system = cubic
space-group type = Ia-3d, No. 230
energy of formation from the pure elements = -659 kJ/mol of formula units